A plane-wave DFT calculation with PBE was carried out for an optimized crystal structure of ZrPa2Au.

The space group is Fm-3m (No. 225) and the conventional cell measures 7.216, 7.216 and 7.216 Å, with angles of 90.00, 90.00 and 90.00 degrees. The asymmetric unit holds Zr at (0.000, 0.000, 0.000), Pa at (0.250, 0.250, 0.250) and Au at (0.000, 0.000, 0.500).

Its formation energy is 94.1 meV per atom. The total energy comes out at -0.2797 hartree per atom. Its crystal system is cubic. The value obtained for the energy above the most stable polymorph in this dataset is 193 meV/atom.